No. 1
# TaTlZnRh2

A geometry-optimized TaTlZnRh2 structure (PBE, the Alexandria database).

Calculated values
Calculated volume = 23.49 A^3/atom
Calculated density = 9.28 g/cm3
Size of the total moment = 0.0 μB per cell
VASP energy = -26.18 eV for the cell shown
Calculated formation energy = 0.8035 eV per atom

Geometry as POSCAR:
```
TaTlZnRh2
1.0
4.7589 0.0000 0.0000
0.0000 5.1868 0.0000
0.0000 0.0000 4.7589
Tl Rh Zn Ta
1 2 1 1
direct
0.5000 0.5000 0.5000
0.0000 0.0000 0.5000
0.5000 0.0000 0.0000
0.0000 0.5000 0.0000
0.0000 0.0000 0.0000
```

---

No. 2
# In2AgPb5

A geometry-optimized In2AgPb5 structure (PBE, the Alexandria database).

Calculated values
Calculated volume = 28.76 A^3/atom
Calculated density = 9.91 g/cm3
Size of the total moment = 0.0 μB per cell
VASP energy = -53.35 eV for the cell shown
Calculated formation energy = 0.0241 eV per atom

Geometry as POSCAR:
```
In2AgPb5
1.0
4.6480 0.0000 0.0000
-2.3240 5.6041 0.0000
0.0000 0.0000 17.6658
In Ag Pb
4 2 10
direct
0.7625 0.5249 0.3430
0.7625 0.5249 0.1570
0.2375 0.4751 0.6570
0.2375 0.4751 0.8430
0.8157 0.6315 0.7500
0.1843 0.3685 0.2500
0.9493 0.8987 0.8986
0.9493 0.8987 0.6014
0.3519 0.7037 0.4665
0.3519 0.7037 0.0335
0.4720 0.9439 0.2500
0.5280 0.0561 0.7500
0.6481 0.2963 0.5335
0.6481 0.2963 0.9665
0.0507 0.1013 0.1014
0.0507 0.1013 0.3986
```

---

No. 3
# Pm4Ni

A geometry-optimized Pm4Ni structure (PBE, the Alexandria database).

Calculated values
Calculated volume = 30.55 A^3/atom
Calculated density = 6.94 g/cm3
Size of the total moment = 0.0 μB per cell
VASP energy = -50.42 eV for the cell shown
Calculated formation energy = -0.0851 eV per atom
ΔE to the lowest computed polymorph = 0.0 meV per atom

Geometry as POSCAR:
```
Pm4Ni
1.0
-4.2154 -1.7539 -5.7607
-2.0035 -3.4193 6.1908
-0.6714 7.2438 1.1336
Pm Ni
8 2
direct
0.6394 0.4649 0.7654
0.6995 0.8739 0.2346
0.7864 0.0219 0.8260
0.1959 0.9603 0.1740
0.2719 0.5364 0.3260
0.2103 0.9459 0.6740
0.1239 0.4495 0.7346
0.7149 0.3894 0.2654
0.3309 0.3309 0.0000
0.5809 0.0809 0.5000
```

---

No. 4
# Ti4MnTc

A geometry-optimized Ti4MnTc structure (PBE, the Alexandria database).

Calculated values
Calculated volume = 15.20 A^3/atom
Calculated density = 6.27 g/cm3
Size of the total moment = 0.0 μB per cell
VASP energy = -52.56 eV for the cell shown
Calculated formation energy = -0.2405 eV per atom
ΔE to the lowest computed polymorph = 0.0 meV per atom

Geometry as POSCAR:
```
Ti4MnTc
1.0
3.0910 -0.0006 0.0003
0.0006 3.0910 0.0003
0.0000 0.0000 9.5475
Ti Mn Tc
4 1 1
direct
0.4999 0.4999 0.8541
0.5001 0.5001 0.1459
0.9999 0.9999 0.6553
0.0001 0.0001 0.3447
0.0000 0.0000 0.0000
0.5000 0.5000 0.5000
```

---

No. 5
# BeRhBr

A geometry-optimized BeRhBr structure (PBE, the Alexandria database).

Calculated values
Calculated volume = 18.17 A^3/atom
Formation energy (no corrections) = -1.283 eV per formula unit
Calculated density = 5.84 g/cm3
Size of the total moment = 0.0 μB per cell
VASP energy = -28.07 eV for the cell shown
ΔE to the lowest computed polymorph = 1.1 meV per atom

Geometry as POSCAR:
```
BeRhBr
1.0
3.7173 0.0001 0.0003
-0.0001 3.3368 0.0389
-0.0019 -0.5106 8.7815
Be Rh Br
2 2 2
direct
0.3610 0.5971 0.3576
0.8610 0.5703 0.4982
0.8609 0.0313 0.3160
0.3610 0.1360 0.5398
0.8611 0.3052 0.7364
0.3609 0.8619 0.1194
```

---

No. 6
# RbBeAsPt2

A geometry-optimized RbBeAsPt2 structure (PBE, the Alexandria database).

Calculated values
Calculated volume = 19.60 A^3/atom
Calculated density = 9.48 g/cm3
Size of the total moment = 0.0 μB per cell
VASP energy = -20.15 eV for the cell shown
Calculated formation energy = 0.2552 eV per atom

Geometry as POSCAR:
```
RbBeAsPt2
1.0
-3.2274 2.6522 -1.8518
-2.9043 -1.0701 3.5290
1.5718 3.5721 2.3768
Be As Rb Pt
1 1 1 2
direct
0.0000 0.0000 0.0000
0.0000 0.5000 0.0000
0.5000 0.5000 0.5000
0.0000 0.0000 0.5000
0.5000 0.0000 0.0000
```